[1]
Compound: RbPuThSe4
Source: the Alexandria database
Functional: PBE
Structure: relaxed

Unit cell a=8.9966 b=8.9966 c=8.9966 alpha=119.86 beta=119.79 gamma=90.30
Fractional positions:
Rb1 0.3711 0.1211 0.2500
Rb2 0.6289 0.8789 0.7500
Pu1 0.0000 0.5000 0.5000
Pu2 0.5000 0.5000 0.0000
Th1 0.0000 0.0000 0.5000
Th2 0.0000 0.5000 0.0000
Se1 0.1919 0.7332 0.4587
Se2 0.2254 0.2668 0.9587
Se3 0.2282 0.2713 0.5431
Se4 0.2282 0.6850 0.9569
Se5 0.7718 0.3150 0.0431
Se6 0.7718 0.7287 0.4569
Se7 0.7746 0.7332 0.0413
Se8 0.8081 0.2668 0.5413

Output
Uncorrected formation energy (kJ/mol of formula units): -1018


[2]
Compound: LaSc3H
Source: the Alexandria database
Functional: PBE
Structure: relaxed

Unit cell a=5.3463 b=5.3463 c=5.3463 alpha=90.00 beta=90.00 gamma=90.00
Fractional positions:
La1 0.0000 0.0000 0.0000
Sc1 0.0000 0.0000 0.5000
Sc2 0.0000 0.5000 0.0000
Sc3 0.5000 0.0000 0.0000
H1 0.5000 0.5000 0.5000

Output
Offset from the most stable computed form (kJ/mol of atoms): 154.85


[3]
Compound: LaCuPdPb
Source: the Alexandria database
Functional: PBE
Structure: relaxed

Unit cell a=4.9878 b=4.9878 c=4.9878 alpha=60.00 beta=60.00 gamma=60.00
Fractional positions:
La1 0.0000 0.0000 0.0000
Cu1 0.7500 0.7500 0.7500
Pd1 0.2500 0.2500 0.2500
Pb1 0.5000 0.5000 0.5000

Output
Energy (eV for the cell shown): -19.7


[4]
Compound: SbIr2Au
Source: the Alexandria database
Functional: PBE
Structure: relaxed

Unit cell a=5.3545 b=5.3545 c=5.0052 alpha=115.92 beta=115.92 gamma=33.22
Fractional positions:
Sb1 0.0000 0.0000 0.0000
Ir1 0.2434 0.2434 0.8885
Ir2 0.5298 0.5298 0.4602
Au1 0.7897 0.7897 0.4130

Output
Uncorrected formation energy (kJ/mol of formula units): 110


[5]
Compound: Hf2MnBe
Source: the Alexandria database
Functional: PBE
Structure: relaxed

Unit cell a=5.6404 b=5.6404 c=5.6404 alpha=103.60 beta=103.60 gamma=121.98
Fractional positions:
Hf1 0.1165 0.1250 0.4915
Hf2 0.3750 0.8835 0.0085
Hf3 0.6335 0.6250 0.5085
Hf4 0.8750 0.3665 0.9915
Mn1 0.0000 0.0000 0.0000
Mn2 0.7500 0.2500 0.5000
Be1 0.2500 0.7500 0.5000
Be2 0.5000 0.5000 0.0000

Output
Energy (eV for the cell shown): -61.4


[6]
Compound: Ba4PSe2Br
Source: the Alexandria database
Functional: PBE
Structure: relaxed

Unit cell a=8.1514 b=4.7330 c=8.2135 alpha=90.00 beta=108.78 gamma=90.00
Fractional positions:
Ba1 0.2437 0.0000 0.2279
Ba2 0.2553 0.5000 0.7645
Ba3 0.7447 0.5000 0.2355
Ba4 0.7563 0.0000 0.7721
P1 0.5000 0.0000 0.0000
Se1 0.0000 0.0000 0.5000
Se2 0.0000 0.5000 0.0000
Br1 0.5000 0.5000 0.5000

Output
Uncorrected formation energy (kJ/mol of formula units): -1366


[7]
Compound: Pr2SmCu
Source: the Alexandria database
Functional: PBE
Structure: relaxed

Unit cell a=3.6593 b=3.6593 c=8.8018 alpha=90.00 beta=90.00 gamma=90.00
Fractional positions:
Pr1 0.0000 0.0000 0.2001
Pr2 0.0000 0.0000 0.7999
Sm1 0.5000 0.5000 0.5000
Cu1 0.5000 0.5000 0.0000

Output
Offset from the most stable computed form (kJ/mol of atoms): 1.83


[8]
Compound: Ba2TaAsPd
Source: the Alexandria database
Functional: PBE
Structure: relaxed

Unit cell a=6.0467 b=6.0467 c=4.9482 alpha=90.00 beta=90.00 gamma=90.00
Fractional positions:
Ba1 0.0000 0.5000 0.0000
Ba2 0.5000 0.0000 0.0000
Ta1 0.0000 0.0000 0.5000
As1 0.5000 0.5000 0.5000
Pd1 0.0000 0.0000 0.0000

Output
Energy (eV for the cell shown): -23.6


[9]
Compound: Tl2TcAg
Source: the Alexandria database
Functional: PBE
Structure: relaxed

Unit cell a=4.7585 b=4.7585 c=3.5053 alpha=90.00 beta=90.00 gamma=90.00
Fractional positions:
Tl1 0.0000 0.5000 0.0000
Tl2 0.5000 0.0000 0.0000
Tc1 0.0000 0.0000 0.5000
Ag1 0.5000 0.5000 0.5000

Output
Offset from the most stable computed form (kJ/mol of atoms): 4.69


[10]
Compound: BeAuBr2
Source: the Alexandria database
Functional: PBE
Structure: relaxed

Unit cell a=4.9015 b=4.9015 c=4.9015 alpha=60.00 beta=60.00 gamma=60.00
Fractional positions:
Be1 0.0000 0.0000 0.0000
Au1 0.5000 0.5000 0.5000
Br1 0.2500 0.2500 0.2500
Br2 0.7500 0.7500 0.7500

Output
Offset from the most stable computed form (kJ/mol of atoms): 87.08
Uncorrected formation energy (kJ/mol of formula units): 243


[11]
Compound: La3Bi2H
Source: the Alexandria database
Functional: PBE
Structure: relaxed

Unit cell a=7.7056 b=7.7056 c=9.0252 alpha=106.81 beta=106.81 gamma=50.30
Fractional positions:
La1 0.0493 0.9507 0.7500
La2 0.3438 0.3528 0.4220
La3 0.3528 0.3438 0.9220
La4 0.6472 0.6562 0.0780
La5 0.6562 0.6472 0.5780
La6 0.9507 0.0493 0.2500
Bi1 0.1717 0.1793 0.0866
Bi2 0.1793 0.1717 0.5866
Bi3 0.8207 0.8283 0.4134
Bi4 0.8283 0.8207 0.9134
H1 0.4318 0.5682 0.7500
H2 0.5682 0.4318 0.2500

Output
Offset from the most stable computed form (kJ/mol of atoms): 11.24


[12]
Compound: K12P3Cl5
Source: the Alexandria database
Functional: PBE
Structure: relaxed

Unit cell a=16.1348 b=16.1348 c=16.1348 alpha=109.47 beta=109.47 gamma=109.47
Fractional positions:
K1 0.0528 0.2242 0.1386
K2 0.0528 0.3286 0.9142
K3 0.0858 0.6386 0.4144
K4 0.0856 0.7242 0.6714
K5 0.0856 0.8614 0.4142
K6 0.0858 0.9472 0.6714
K7 0.1386 0.0528 0.2242
K8 0.1386 0.5858 0.9144
K9 0.1714 0.2242 0.5856
K10 0.1714 0.4472 0.5858
K11 0.2242 0.1386 0.0528
K12 0.2242 0.5856 0.1714
K13 0.2758 0.3286 0.9144
K14 0.2758 0.4472 0.3614
K15 0.3286 0.9142 0.0528
K16 0.3286 0.9144 0.2758
K17 0.3614 0.2758 0.4472
K18 0.3614 0.5856 0.9142
K19 0.4144 0.0858 0.6386
K20 0.4142 0.0856 0.8614
K21 0.4142 0.8286 0.5528
K22 0.4144 0.8286 0.7758
K23 0.4472 0.3614 0.2758
K24 0.4472 0.5858 0.1714
K25 0.5528 0.4142 0.8286
K26 0.5528 0.6386 0.7242
K27 0.5856 0.1714 0.2242
K28 0.5858 0.1714 0.4472
K29 0.5858 0.9144 0.1386
K30 0.5856 0.9142 0.3614
K31 0.6386 0.4144 0.0858
K32 0.6386 0.7242 0.5528
K33 0.6714 0.0856 0.7242
K34 0.6714 0.0858 0.9472
K35 0.7242 0.5528 0.6386
K36 0.7242 0.6714 0.0856
K37 0.7758 0.4144 0.8286
K38 0.7758 0.8614 0.9472
K39 0.8286 0.5528 0.4142
K40 0.8286 0.7758 0.4144
K41 0.8614 0.4142 0.0856
K42 0.8614 0.9472 0.7758
K43 0.9142 0.0528 0.3286
K44 0.9144 0.1386 0.5858
K45 0.9144 0.2758 0.3286
K46 0.9142 0.3614 0.5856
K47 0.9472 0.6714 0.0858
K48 0.9472 0.7758 0.8614
P1 0.1250 0.2500 0.3750
P2 0.1250 0.3750 0.7500
P3 0.2500 0.3750 0.1250
P4 0.2500 0.8750 0.6250
P5 0.3750 0.1250 0.2500
P6 0.3750 0.7500 0.1250
P7 0.6250 0.2500 0.8750
P8 0.6250 0.8750 0.7500
P9 0.7500 0.1250 0.3750
P10 0.7500 0.6250 0.8750
P11 0.8750 0.6250 0.2500
P12 0.8750 0.7500 0.6250
Cl1 0.0000 0.0000 0.0000
Cl2 0.0000 0.0000 0.5000
Cl3 0.0000 0.5000 0.0000
Cl4 0.0000 0.5000 0.5000
Cl5 0.1250 0.7500 0.8750
Cl6 0.1250 0.8750 0.2500
Cl7 0.2500 0.1250 0.8750
Cl8 0.2500 0.6250 0.3750
Cl9 0.3750 0.2500 0.6250
Cl10 0.3750 0.6250 0.7500
Cl11 0.5000 0.0000 0.0000
Cl12 0.5000 0.0000 0.5000
Cl13 0.5000 0.5000 0.0000
Cl14 0.5000 0.5000 0.5000
Cl15 0.6250 0.3750 0.2500
Cl16 0.6250 0.7500 0.3750
Cl17 0.7500 0.3750 0.6250
Cl18 0.7500 0.8750 0.1250
Cl19 0.8750 0.1250 0.7500
Cl20 0.8750 0.2500 0.1250

Output
Uncorrected formation energy (kJ/mol of formula units): -1895


[13]
Compound: HfTeHN2
Source: the Alexandria database
Functional: PBE
Structure: relaxed

Unit cell a=4.0417 b=4.0417 c=6.0864 alpha=90.00 beta=90.00 gamma=90.00
Fractional positions:
Hf1 0.0000 0.0000 0.0000
Te1 0.0000 0.0000 0.5000
H1 0.5000 0.5000 0.5000
N1 0.0000 0.5000 0.0000
N2 0.5000 0.0000 0.0000

Output
Offset from the most stable computed form (kJ/mol of atoms): 0.00


[14]
Compound: Tl2HgSb
Source: the Alexandria database
Functional: PBE
Structure: relaxed

Unit cell a=3.3366 b=3.3366 c=10.6974 alpha=90.00 beta=90.00 gamma=100.79
Fractional positions:
Tl1 0.0000 0.0000 0.0000
Tl2 0.5000 0.5000 0.2754
Hg1 0.5000 0.5000 0.7581
Sb1 0.0000 0.0000 0.5171

Output
Offset from the most stable computed form (kJ/mol of atoms): 5.45
Uncorrected formation energy (kJ/mol of formula units): 18


[15]
Compound: CdMoSe
Source: the Alexandria database
Functional: PBE
Structure: relaxed

Unit cell a=7.8355 b=7.5761 c=3.0619 alpha=83.34 beta=73.82 gamma=22.84
Fractional positions:
Cd1 0.0000 0.0000 0.0000
Mo1 0.6605 0.6605 0.3395
Se1 0.2837 0.2837 0.7163

Output
Offset from the most stable computed form (kJ/mol of atoms): 38.95
Uncorrected formation energy (kJ/mol of formula units): 93


[16]
Compound: BaAu2Cl
Source: the Alexandria database
Functional: PBE
Structure: relaxed

Unit cell a=3.9701 b=3.9701 c=7.5100 alpha=90.00 beta=90.00 gamma=90.00
Fractional positions:
Ba1 0.0000 0.0000 0.0000
Au1 0.0000 0.0000 0.6019
Au2 0.5000 0.5000 0.6414
Cl1 0.5000 0.5000 0.1678

Output
Offset from the most stable computed form (kJ/mol of atoms): 9.85
Uncorrected formation energy (kJ/mol of formula units): -355


[17]
Compound: K3RbAu
Source: the Alexandria database
Functional: PBE
Structure: relaxed

Unit cell a=8.8866 b=8.8866 c=7.8928 alpha=90.00 beta=90.00 gamma=107.47
Fractional positions:
K1 0.0000 0.0000 0.0000
K2 0.0000 0.0000 0.5000
K3 0.0859 0.5317 0.7500
K4 0.4683 0.9141 0.7500
K5 0.5317 0.0859 0.2500
K6 0.9141 0.4683 0.2500
Rb1 0.4282 0.5718 0.2500
Rb2 0.5718 0.4282 0.7500
Au1 0.1921 0.8079 0.2500
Au2 0.8079 0.1921 0.7500

Output
Offset from the most stable computed form (kJ/mol of atoms): 5.62


[18]
Compound: LiMgBPt2
Source: the Alexandria database
Functional: PBE
Structure: relaxed

Unit cell a=4.1418 b=4.1418 c=4.4482 alpha=90.00 beta=90.00 gamma=90.00
Fractional positions:
Li1 0.0000 0.0000 0.0000
Mg1 0.5000 0.5000 0.0000
B1 0.5000 0.5000 0.5000
Pt1 0.0000 0.5000 0.5000
Pt2 0.5000 0.0000 0.5000

Output
Offset from the most stable computed form (kJ/mol of atoms): 9.67


[19]
Compound: HoMn2GeN
Source: the Alexandria database
Functional: PBE
Structure: relaxed

Unit cell a=5.6682 b=5.6682 c=7.1499 alpha=90.00 beta=90.00 gamma=142.82
Fractional positions:
Ho1 0.0401 0.9599 0.7500
Ho2 0.9599 0.0401 0.2500
Mn1 0.3363 0.6637 0.5547
Mn2 0.3363 0.6637 0.9453
Mn3 0.6637 0.3363 0.0547
Mn4 0.6637 0.3363 0.4453
Ge1 0.2362 0.7638 0.2500
Ge2 0.7638 0.2362 0.7500
N1 0.5000 0.5000 0.0000
N2 0.5000 0.5000 0.5000

Output
Uncorrected formation energy (kJ/mol of formula units): -339


[20]
Compound: Ba2ReO6
Source: the Alexandria database
Functional: PBE
Structure: relaxed

Unit cell a=5.5567 b=5.5567 c=11.0926 alpha=90.00 beta=90.00 gamma=90.00
Fractional positions:
Ba1 0.0000 0.0000 0.1675
Ba2 0.0000 0.0000 0.8325
Ba3 0.5000 0.5000 0.3325
Ba4 0.5000 0.5000 0.6675
Re1 0.0000 0.0000 0.5000
Re2 0.5000 0.5000 0.0000
O1 0.1682 0.1682 0.3767
O2 0.1682 0.1682 0.6233
O3 0.2408 0.7592 0.5000
O4 0.2592 0.2592 0.0000
O5 0.3318 0.6682 0.1233
O6 0.3318 0.6682 0.8767
O7 0.6682 0.3318 0.1233
O8 0.6682 0.3318 0.8767
O9 0.7408 0.7408 0.0000
O10 0.7592 0.2408 0.5000
O11 0.8318 0.8318 0.3767
O12 0.8318 0.8318 0.6233

Output
Offset from the most stable computed form (kJ/mol of atoms): 7.26
Uncorrected formation energy (kJ/mol of formula units): -1740


no.,calculated volume (Å³ per cell)
1,516.23
2,152.81
3,87.75
4,69.96
5,133.11
6,300.01
7,117.86
8,180.92
9,79.37
10,83.27
11,390.73
12,3233.45
13,99.43
14,116.99
15,62.73
16,118.37
17,594.55
18,76.31
19,138.83
20,342.50